# LaTa3 (PBE-GGA, optimized geometry)
# density of states at the Fermi level = 8.53 states/eV/cell
# calculated volume = 85 Å³/f.u.
# total magnetization = 0.00 μB per cell
# E_tot = -9.52 eV/atom
data_LaTa3
_space_group_name_H-M_alt 'I m m 2'
_space_group_IT_number 44
_space_group_name_Hall 'I 2 -2'
_cell_length_a 2.9170
_cell_length_b 10.7896
_cell_length_c 5.3812
_cell_angle_alpha 90.00
_cell_angle_beta 90.00
_cell_angle_gamma 90.00
loop_
_atom_site_label
_atom_site_fract_x
_atom_site_fract_y
_atom_site_fract_z
La1 0.0000 0.0000 0.0000
Ta1 0.0000 0.2312 0.3378
Ta2 0.0000 0.5000 0.0215

# LaTa2 (PBE-GGA, optimized geometry)
# density of states at the Fermi level = 9.10 states/eV/cell
# calculated volume = 66 Å³/f.u.
# total magnetization = 0.00 μB per cell
# relative energy among the computed polymorphs = 269.4 meV per atom
data_LaTa2
_space_group_name_H-M_alt 'P -6 m 2'
_space_group_IT_number 187
_space_group_name_Hall 'P -6 2'
_cell_length_a 3.0658
_cell_length_b 3.0658
_cell_length_c 16.1974
_cell_angle_alpha 90.00
_cell_angle_beta 90.00
_cell_angle_gamma 120.00
loop_
_atom_site_label
_atom_site_fract_x
_atom_site_fract_y
_atom_site_fract_z
La1 0.0000 0.0000 0.1748
Ta1 0.0000 0.0000 0.5000
Ta2 0.6667 0.3333 0.0000
Ta3 0.6667 0.3333 0.3531

# La5Ta (PBE-GGA, optimized geometry)
# density of states at the Fermi level = 22.86 states/eV/cell
# calculated volume = 189 Å³/f.u.
# total magnetization = 0.00 μB per cell
# relative energy among the computed polymorphs = 51.0 meV per atom
data_La5Ta
_space_group_name_H-M_alt 'R 3 2'
_space_group_IT_number 155
_space_group_name_Hall 'R 3 2"'
_cell_length_a 6.2304
_cell_length_b 6.2304
_cell_length_c 16.9101
_cell_angle_alpha 90.00
_cell_angle_beta 90.00
_cell_angle_gamma 120.00
loop_
_atom_site_label
_atom_site_fract_x
_atom_site_fract_y
_atom_site_fract_z
La1 0.0000 0.0000 0.1522
La2 0.0000 0.6131 0.0000
Ta1 0.0000 0.0000 0.5000

# LaTa3 (PBE-GGA, optimized geometry)
# density of states at the Fermi level = 11.54 states/eV/cell
# calculated volume = 93 Å³/f.u.
# total magnetization = 0.00 μB per cell
# E_tot = -9.58 eV/atom
data_LaTa3
_space_group_name_H-M_alt 'P 63/m m c'
_space_group_IT_number 194
_space_group_name_Hall '-P 6c 2c'
_cell_length_a 6.5163
_cell_length_b 6.5163
_cell_length_c 5.0815
_cell_angle_alpha 90.00
_cell_angle_beta 90.00
_cell_angle_gamma 120.00
loop_
_atom_site_label
_atom_site_fract_x
_atom_site_fract_y
_atom_site_fract_z
La1 0.3333 0.6667 0.2500
Ta1 0.1402 0.2805 0.7500

# LaTa2 (PBE-GGA, optimized geometry)
# density of states at the Fermi level = 12.10 states/eV/cell
# calculated volume = 74 Å³/f.u.
# total magnetization = 0.00 μB per cell
# relative energy among the computed polymorphs = 80.4 meV per atom
data_LaTa2
_space_group_name_H-M_alt 'I m m m'
_space_group_IT_number 71
_space_group_name_Hall '-I 2 2'
_cell_length_a 3.3234
_cell_length_b 6.1289
_cell_length_c 14.5245
_cell_angle_alpha 90.00
_cell_angle_beta 90.00
_cell_angle_gamma 90.00
loop_
_atom_site_label
_atom_site_fract_x
_atom_site_fract_y
_atom_site_fract_z
La1 0.0000 0.0000 0.1784
Ta1 0.0000 0.2564 0.5000
Ta2 0.0000 0.5000 0.1071

# LaTa2 (PBE-GGA, optimized geometry)
# density of states at the Fermi level = 10.13 states/eV/cell
# calculated volume = 66 Å³/f.u.
# total magnetization = 0.00 μB per cell
# relative energy among the computed polymorphs = 313.0 meV per atom
data_LaTa2
_space_group_name_H-M_alt 'C m c m'
_space_group_IT_number 63
_space_group_name_Hall '-C 2c 2'
_cell_length_a 2.9310
_cell_length_b 16.7512
_cell_length_c 5.3380
_cell_angle_alpha 90.00
_cell_angle_beta 90.00
_cell_angle_gamma 90.00
loop_
_atom_site_label
_atom_site_fract_x
_atom_site_fract_y
_atom_site_fract_z
La1 0.0000 0.1250 0.2500
Ta1 0.0000 0.2073 0.7500
Ta2 0.0000 0.4580 0.2500